(a)
Compound: LiSiNi3
Source: Alexandria via LeMat-Bulk
Functional: PBE
Structure: optimized geometry

```
LiSiNi3
1.0
3.854 0.000 0.000
0.000 3.854 0.000
0.000 0.000 3.854
Li Si Ni
1 1 3
Direct
0.000 0.000 0.000 Li
0.500 0.500 0.500 Si
0.000 0.000 0.500 Ni
0.000 0.500 0.000 Ni
0.500 0.000 0.000 Ni
```

Computed properties:
V = 11.45 A^3/atom
M_tot = 0.00 Bohr magnetons per cell
Density of states at the Fermi level = 4.56 states/eV/f.u.

(b)
Compound: LiSiNi3
Source: Alexandria via LeMat-Bulk
Functional: PBE
Structure: optimized geometry

```
LiSiNi3
1.0
1.926 -7.164 0.000
1.926 7.164 0.000
0.000 0.000 3.862
Li Si Ni
2 2 6
Direct
0.151 0.849 0.750 Li
0.849 0.151 0.250 Li
0.350 0.650 0.750 Si
0.650 0.350 0.250 Si
0.056 0.944 0.250 Ni
0.250 0.750 0.250 Ni
0.444 0.556 0.250 Ni
0.556 0.444 0.750 Ni
0.750 0.250 0.750 Ni
0.944 0.056 0.750 Ni
```

Computed properties:
V = 10.66 A^3/atom
M_tot = 0.00 Bohr magnetons per cell
Density of states at the Fermi level = 3.19 states/eV/f.u.

Most stable to least stable, the ends of the list are (b) and (a).

(a)
Compound: Li3SiNi
Source: Alexandria via LeMat-Bulk
Functional: PBE
Structure: optimized geometry

```
Li3SiNi
1.0
4.616 0.000 0.000
0.000 4.616 0.000
0.000 0.000 4.616
Li Si Ni
3 1 1
Direct
0.000 0.000 0.500 Li
0.000 0.500 0.000 Li
0.500 0.000 0.000 Li
0.000 0.000 0.000 Si
0.500 0.500 0.500 Ni
```

Computed properties:
V = 19.67 A^3/atom
M_tot = 1.14 Bohr magnetons per cell
Density of states at the Fermi level = 3.61 states/eV/f.u.

(b)
Compound: Li3SiNi
Source: Alexandria via LeMat-Bulk
Functional: PBE
Structure: optimized geometry

```
Li3SiNi
1.0
4.361 0.000 0.000
0.000 4.361 0.000
0.000 0.000 4.361
Li Si Ni
3 1 1
Direct
0.000 0.000 0.500 Li
0.000 0.500 0.000 Li
0.500 0.000 0.000 Li
0.500 0.500 0.500 Si
0.000 0.000 0.000 Ni
```

Computed properties:
V = 16.59 A^3/atom
M_tot = 0.00 Bohr magnetons per cell
Density of states at the Fermi level = 2.11 states/eV/f.u.

Most stable to least stable, the ends of the list are (b) and (a).